# LiZrPdSe3 | OQMD | PBE-GGA | relaxed
data_LiZrPdSe3
_cell_length_a 12.6708
_cell_length_b 3.7589
_cell_length_c 10.5312
_cell_angle_alpha 90.00
_cell_angle_beta 90.00
_cell_angle_gamma 90.00
_space_group_name_H-M_alt 'P n m a'
_space_group_IT_number 62
_space_group_name_Hall '-P 2ac 2n'
loop_
_atom_site_label
_atom_site_fract_x
_atom_site_fract_y
_atom_site_fract_z
Li1 0.2162 0.2500 0.0782
Zr1 0.0037 0.2500 0.3215
Pd1 0.0108 0.2500 0.9034
Se1 0.1154 0.2500 0.5539
Se2 0.1357 0.7500 0.8707
Se3 0.1464 0.7500 0.2538
# * final energy: -5.38 eV per atom
# * M_tot: 0.010 μB/f.u.
# * energy above the most stable polymorph in this dataset: 0.005 eV/atom

# LiZrPdSe3 | OQMD | PBE-GGA | relaxed
data_LiZrPdSe3
_cell_length_a 7.5288
_cell_length_b 3.7442
_cell_length_c 9.2272
_cell_angle_alpha 90.00
_cell_angle_beta 105.23
_cell_angle_gamma 90.00
_space_group_name_H-M_alt 'P 1 21/m 1'
_space_group_IT_number 11
_space_group_name_Hall '-P 2yb'
loop_
_atom_site_label
_atom_site_fract_x
_atom_site_fract_y
_atom_site_fract_z
Li1 0.2298 0.2500 0.2722
Zr1 0.3212 0.7500 0.8152
Pd1 0.1347 0.2500 0.5675
Se1 0.0673 0.2500 0.8255
Se2 0.3328 0.7500 0.5250
Se3 0.4004 0.7500 0.1289
# * final energy: -5.38 eV per atom
# * M_tot: 0.003 μB/f.u.
# * energy above the most stable polymorph in this dataset: 0.000 eV/atom

# LiSiPd2 | OQMD | PBE-GGA | relaxed
data_LiSiPd2
_cell_length_a 4.2645
_cell_length_b 4.2645
_cell_length_c 2.9182
_cell_angle_alpha 90.00
_cell_angle_beta 90.00
_cell_angle_gamma 90.00
_space_group_name_H-M_alt 'P 4/m m m'
_space_group_IT_number 123
_space_group_name_Hall '-P 4 2'
loop_
_atom_site_label
_atom_site_fract_x
_atom_site_fract_y
_atom_site_fract_z
Li1 0.0000 0.0000 0.0000
Si1 0.5000 0.5000 0.0000
Pd1 0.0000 0.5000 0.5000
# * final energy: -5.07 eV per atom

# LiSiPd2 | OQMD | PBE-GGA | relaxed
data_LiSiPd2
_cell_length_a 4.2613
_cell_length_b 4.2613
_cell_length_c 7.4976
_cell_angle_alpha 90.00
_cell_angle_beta 90.00
_cell_angle_gamma 120.00
_space_group_name_H-M_alt 'P 63/m m c'
_space_group_IT_number 194
_space_group_name_Hall '-P 6c 2c'
loop_
_atom_site_label
_atom_site_fract_x
_atom_site_fract_y
_atom_site_fract_z
Li1 0.0000 0.0000 0.2500
Si1 0.3333 0.6667 0.2500
Pd1 0.3333 0.6667 0.5774
# * final energy: -4.83 eV per atom